# BaZnCd2

A crystal of BaZnCd2 relaxed with PBEsol (meta-GGA SCAN, Alexandria via LeMat-Bulk).

POSCAR file:
```
BaZnCd2
1.0
2.325 1.342 5.988
-2.325 1.342 5.988
0.000 -2.685 5.988
Ba Zn Cd
1 1 2
Direct
0.000 0.000 0.000 Ba
0.500 0.500 0.500 Zn
0.201 0.201 0.201 Cd
0.799 0.799 0.799 Cd
```

total energy = -28.72 eV per atom
crystal system = trigonal
ΔH_f (0 K) = -0.98 eV/f.u.

---

# Zr2AgIr2

A crystal of Zr2AgIr2 relaxed with PBEsol (meta-GGA SCAN, Alexandria via LeMat-Bulk).

POSCAR file:
```
Zr2AgIr2
1.0
-2.212 2.212 5.283
2.212 -2.212 5.283
2.212 2.212 -5.283
Zr Ag Ir
2 1 2
Direct
0.250 0.750 0.500 Zr
0.750 0.250 0.500 Zr
0.000 0.000 0.000 Ag
0.383 0.383 0.000 Ir
0.617 0.617 0.000 Ir
```

total energy = -47.45 eV per atom
energy relative to the lowest polymorph listed for this composition = 0.3063 eV/atom
crystal system = tetragonal
ΔH_f (0 K) = -2.30 eV/f.u.

---

# KRhO2F

A crystal of KRhO2F relaxed with PBEsol (meta-GGA SCAN, Alexandria via LeMat-Bulk).

POSCAR file:
```
KRhO2F
1.0
3.777 0.000 0.000
0.000 3.777 0.000
0.000 0.000 4.618
K Rh O F
1 1 2 1
Direct
0.000 0.000 0.000 K
0.500 0.500 0.500 Rh
0.000 0.500 0.500 O
0.500 0.000 0.500 O
0.500 0.500 0.000 F
```

total energy = -13.01 eV per atom
crystal system = tetragonal

---

# K3YF

A crystal of K3YF relaxed with PBEsol (meta-GGA SCAN, Alexandria via LeMat-Bulk).

POSCAR file:
```
K3YF
1.0
5.649 0.000 0.000
0.000 5.649 0.000
0.000 0.000 5.649
K Y F
3 1 1
Direct
0.000 0.000 0.500 K
0.000 0.500 0.000 K
0.500 0.000 0.000 K
0.500 0.500 0.500 Y
0.000 0.000 0.000 F
```

total energy = -11.84 eV per atom
crystal system = cubic

---

# TaMoW2

A crystal of TaMoW2 relaxed with PBEsol (meta-GGA SCAN, Alexandria via LeMat-Bulk).

POSCAR file:
```
TaMoW2
1.0
2.655 -4.626 0.000
2.655 4.626 0.000
0.000 0.000 2.662
Ta Mo W
1 1 2
Direct
0.000 0.000 0.000 Ta
0.500 0.500 0.000 Mo
0.000 0.500 0.500 W
0.500 0.000 0.500 W
```

total energy = -59.94 eV per atom
energy relative to the lowest polymorph listed for this composition = 0.3969 eV/atom
crystal system = orthorhombic
ΔH_f (0 K) = 1.09 eV/f.u.

---

# Sb2MoRh

A crystal of Sb2MoRh relaxed with PBEsol (meta-GGA SCAN, Alexandria via LeMat-Bulk).

POSCAR file:
```
Sb2MoRh
1.0
1.518 0.876 10.245
-1.518 0.876 10.245
0.000 -1.752 10.245
Sb Mo Rh
2 1 1
Direct
0.000 0.000 0.000 Sb
0.209 0.209 0.209 Sb
0.469 0.469 0.469 Mo
0.737 0.737 0.737 Rh
```

total energy = -35.57 eV per atom
crystal system = trigonal

---

# LiSc2Ni

A crystal of LiSc2Ni relaxed with PBEsol (meta-GGA SCAN, Alexandria via LeMat-Bulk).

POSCAR file:
```
LiSc2Ni
1.0
0.000 3.170 3.170
3.170 0.000 3.170
3.170 3.170 0.000
Li Sc Ni
1 2 1
Direct
0.000 0.000 0.000 Li
0.500 0.500 0.500 Sc
0.750 0.750 0.750 Sc
0.250 0.250 0.250 Ni
```

total energy = -11.70 eV per atom
crystal system = cubic
ΔH_f (0 K) = 0.23 eV/f.u.

---

# MgZnAs2

A crystal of MgZnAs2 relaxed with PBEsol (meta-GGA SCAN, Alexandria via LeMat-Bulk).

POSCAR file:
```
MgZnAs2
1.0
1.497 0.864 9.673
-1.497 0.864 9.673
0.000 -1.728 9.673
Mg Zn As
1 1 2
Direct
0.000 0.000 0.000 Mg
0.257 0.257 0.257 Zn
0.519 0.519 0.519 As
0.743 0.743 0.743 As
```

total energy = -14.60 eV per atom
energy relative to the lowest polymorph listed for this composition = 0.2415 eV/atom
crystal system = trigonal
ΔH_f (0 K) = 0.48 eV/f.u.

---

# NiMo2Ru

A crystal of NiMo2Ru relaxed with PBEsol (meta-GGA SCAN, Alexandria via LeMat-Bulk).

POSCAR file:
```
NiMo2Ru
1.0
4.382 -1.358 0.000
4.382 1.358 0.000
-0.772 0.000 4.595
Ni Mo Ru
1 2 1
Direct
0.000 0.000 0.000 Ni
0.507 0.507 0.504 Mo
0.742 0.742 0.200 Mo
0.259 0.259 0.728 Ru
```

total energy = -30.07 eV per atom
crystal system = monoclinic
ΔH_f (0 K) = 0.48 eV/f.u.

---

# BaSr2In

A crystal of BaSr2In relaxed with PBEsol (meta-GGA SCAN, Alexandria via LeMat-Bulk).

POSCAR file:
```
BaSr2In
1.0
4.038 0.000 0.000
0.000 4.038 0.000
0.000 0.000 10.644
Ba Sr In
1 2 1
Direct
0.000 0.000 0.000 Ba
0.500 0.500 0.316 Sr
0.500 0.500 0.684 Sr
0.000 0.000 0.500 In
```

total energy = -29.65 eV per atom
energy relative to the lowest polymorph listed for this composition = 0.0000 eV/atom
crystal system = tetragonal
ΔH_f (0 K) = -1.11 eV/f.u.

---

# AuSe2Br

A crystal of AuSe2Br relaxed with PBEsol (meta-GGA SCAN, Alexandria via LeMat-Bulk).

POSCAR file:
```
AuSe2Br
1.0
3.806 -1.868 0.000
3.806 1.868 0.000
-1.329 0.000 6.884
Au Se Br
1 2 1
Direct
0.000 0.000 0.000 Au
0.343 0.343 0.801 Se
0.657 0.657 0.199 Se
0.500 0.500 0.500 Br
```

total energy = -32.31 eV per atom
crystal system = monoclinic

---

# BaBeBr2

A crystal of BaBeBr2 relaxed with PBEsol (meta-GGA SCAN, Alexandria via LeMat-Bulk).

POSCAR file:
```
BaBeBr2
1.0
-2.309 2.309 5.298
2.309 -2.309 5.298
2.309 2.309 -5.298
Ba Be Br
1 1 2
Direct
0.000 0.000 0.000 Ba
0.750 0.250 0.500 Be
0.250 0.750 0.500 Br
0.500 0.500 0.000 Br
```

total energy = -21.52 eV per atom
energy relative to the lowest polymorph listed for this composition = 0.2288 eV/atom
crystal system = tetragonal